Crystalline LaSc2Co2 at its relaxed geometry. Source: Alexandria, functional PBE.

Computed properties:
ΔE to the lowest computed polymorph (eV per atom): 0.2196
Formation energy from the elements (eV per atom): 0.0365
V (Å³/cell): 107
Calculated total energy (eV/atom): -6.324
Space group: I4/mmm (139)

Cell: 4.6067 4.6067 6.0074 Å, 67.45 67.45 90.00°
Closest atoms and distances in Å follow each position.
Fractional coordinates of all 5 atoms:
Sc1 0.6601 0.6601 0.6798  4 Co 2.48
Sc2 0.3399 0.3399 0.3202  4 Co 2.48
Co1 0.7500 0.2500 0.5000  4 Sc 2.48
Co2 0.2500 0.7500 0.5000  4 Sc 2.48
La1 0.0000 0.0000 0.0000  8 Co 3.42, 10 Sc 3.43-3.64